Entry 1:
VASP calculation (PBEsol) on Cd2P3Cl after structural relaxation.

abc: 5.992 5.992 7.499
angles: 97.27 97.27 96.77
Fractional coordinates of all 12 atoms:
Cd 0.604 0.912 0.709
Cd 0.912 0.604 0.209
Cd 0.088 0.396 0.791
Cd 0.396 0.088 0.291
Cl 0.634 0.366 0.750
Cl 0.366 0.634 0.250
P 0.836 0.928 0.032
P 0.928 0.836 0.532
P 0.197 0.803 0.750
P 0.803 0.197 0.250
P 0.072 0.164 0.468
P 0.164 0.072 0.968

Properties
* electronic total energy: -47.60 eV/cell
* space-group type: C2/c
* formation energy without anion corrections: -337 meV/atom
* ρ: 4.469 g/cm³

Entry 2:
VASP calculation (PBEsol) on Cd2PCl after structural relaxation.

abc: 5.883 5.883 7.510
angles: 113.06 113.06 90.00
Fractional coordinates of all 8 atoms:
P 0.750 0.250 0.500
P 0.500 0.500 0.000
Cl 0.250 0.750 0.500
Cl 0.000 0.000 0.000
Cd 0.423 0.875 0.250
Cd 0.827 0.375 0.250
Cd 0.125 0.173 0.750
Cd 0.625 0.577 0.750

Properties
* electronic total energy: -23.37 eV/cell
* relative energy among the computed polymorphs: 0.000 eV/atom
* space-group type: I-42d
* formation energy without anion corrections: -373 meV/atom
* ρ: 4.470 g/cm³